Entry from the Alexandria database: a relaxed structure of Na2ZrAgTe4 (GGA-PBE).

Properties
The space-group type is No. 10. The volume is 241.3 Å³ per cell. For the calculated density, the calculation gives 5.20 g cm⁻³. The value obtained for the total energy is -3.970 eV/atom.

Cell lengths 4.1962, 7.7707, 7.9594 Å; angles 111.62, 90.00, 90.00 degrees
With the nearest neighbours (Å) after each atom.
Element x y z (fractional)
Te (0.5000, 0.2158, 0.2406)  2 Zr 2.92, 3 Na 3.10-3.19
Zr (0.0000, 0.0000, 0.0000)  6 Te 2.92-2.97
Te (0.0000, 0.2633, 0.8085)  2 Ag 2.84, 1 Zr 2.97
Te (0.0000, 0.7367, 0.1915)  2 Ag 2.84, 1 Zr 2.97
Na (0.0000, 0.5000, 0.5000)  6 Te 3.19-3.57
Ag (0.5000, 0.5000, 0.0000)  4 Te 2.84
Na (0.5000, 0.0000, 0.5000)  6 Te 3.10-3.30
Te (0.5000, 0.7842, 0.7594)  2 Zr 2.92, 3 Na 3.10-3.19